(1)
Material: CaFeAs2
Method: DFT, GGA-PBE
State: relaxed

- raw total energy (eV per atom) = -5.049
- calculated formation energy (eV per atom) = -0.11
- V (A^3/atom) = 19.2
- total magnetization (μB per atom) = 0.74
- offset from the most stable computed form (eV/atom) = 0.3610

a = 4.5871 Å, b = 4.5871 Å, c = 3.7074 Å
α = 90.04°, β = 90.04°, γ = 99.84°
Each line ends with the local moment (μB).
Positions (direct):
As (0.0000, 0.0000, 0.0000)  -0.02
As (0.5000, 0.5000, 0.0000)  -0.02
Ca (0.5000, 0.0000, 0.5000)  -0.01
Fe (0.0000, 0.5000, 0.5000)  2.95



(2)
Material: YU2S3O2
Method: DFT, GGA-PBE
State: relaxed

- raw total energy (eV per atom) = -8.739
- V (A^3/atom) = 19.3
- total magnetization (μB per atom) = 0.60
- ΔE_f (raw) (meV per atom) = -2321.8

a = 10.9424 Å, b = 10.9424 Å, c = 10.9424 Å
α = 159.93°, β = 159.93°, γ = 28.53°
Each line ends with the local moment (μB).
Positions (direct):
Y (0.0000, 0.0000, 0.0000)  0.01
S (0.1292, 0.1292, 0.0000)  -0.04
S (0.8708, 0.8708, 0.0000)  -0.04
S (0.5000, 0.5000, 0.0000)  -0.01
U (0.3131, 0.3131, 0.0000)  2.34
U (0.6869, 0.6869, 0.0000)  2.34
O (0.7500, 0.2500, 0.5000)  -0.06
O (0.2500, 0.7500, 0.5000)  -0.06



(3)
Material: LaThZn3
Method: DFT, GGA-PBE
State: relaxed

- raw total energy (eV per atom) = -3.496
- calculated formation energy (eV per atom) = -0.26
- V (A^3/atom) = 23.5
- total magnetization (μB per atom) = 0.00

a = 3.5969 Å, b = 4.5955 Å, c = 14.3359 Å
α = 90.00°, β = 97.21°, γ = 90.00°
Positions (direct):
La (0.2075, 0.7500, 0.4150)
La (0.7925, 0.2500, 0.5850)
Th (0.9303, 0.7500, 0.8605)
Th (0.0697, 0.2500, 0.1395)
Zn (0.6154, 0.7500, 0.2308)
Zn (0.3846, 0.2500, 0.7692)
Zn (0.5230, 0.7500, 0.0461)
Zn (0.4770, 0.2500, 0.9539)
Zn (0.6646, 0.2500, 0.3293)
Zn (0.3354, 0.7500, 0.6707)



(4)
Material: Ca2CoP
Method: DFT, GGA-PBE
State: relaxed

- raw total energy (eV per atom) = -4.148
- calculated formation energy (eV per atom) = -0.02
- V (A^3/atom) = 17.5
- total magnetization (μB per atom) = 0.00

a = 4.6266 Å, b = 4.6266 Å, c = 4.6266 Å
α = 60.00°, β = 60.00°, γ = 60.00°
Positions (direct):
Ca (0.0000, 0.0000, 0.0000)
Ca (0.2500, 0.2500, 0.2500)
Co (0.5000, 0.5000, 0.5000)
P (0.7500, 0.7500, 0.7500)



(5)
Material: Th4Cu3Rh
Method: DFT, GGA-PBE
State: relaxed

- raw total energy (eV per atom) = -6.481
- calculated formation energy (eV per atom) = -0.32
- V (A^3/atom) = 23.3
- total magnetization (μB per atom) = 0.00

a = 3.8750 Å, b = 4.2519 Å, c = 11.3019 Å
α = 90.00°, β = 90.00°, γ = 90.00°
Positions (direct):
Rh (0.5000, 0.5000, 0.0889)
Cu (0.0000, 0.5000, 0.5649)
Cu (0.0000, 0.0000, 0.4296)
Cu (0.5000, 0.0000, 0.9264)
Th (0.5000, 0.5000, 0.3554)
Th (0.0000, 0.5000, 0.8531)
Th (0.0000, 0.0000, 0.1356)
Th (0.5000, 0.0000, 0.6461)



(6)
Material: Ac6TaS12
Method: DFT, GGA-PBE
State: relaxed

- raw total energy (eV per atom) = -6.364
- V (A^3/atom) = 29.1
- total magnetization (μB per atom) = 0.00
- ΔE_f (raw) (meV per atom) = -1836.1

a = 8.3093 Å, b = 8.3093 Å, c = 8.3093 Å
α = 98.29°, β = 98.29°, γ = 98.29°
Positions (direct):
Ac (0.7045, 0.8630, 0.3749)
Ac (0.6251, 0.2955, 0.1370)
Ac (0.1370, 0.6251, 0.2955)
Ac (0.2955, 0.1370, 0.6251)
Ac (0.3749, 0.7045, 0.8630)
Ac (0.8630, 0.3749, 0.7045)
Ta (0.0000, 0.0000, 0.0000)
S (0.8214, 0.5547, 0.4136)
S (0.4136, 0.8214, 0.5547)
S (0.5547, 0.4136, 0.8214)
S (0.1786, 0.4453, 0.5864)
S (0.5864, 0.1786, 0.4453)
S (0.4453, 0.5864, 0.1786)
S (0.0609, 0.9765, 0.2972)
S (0.0235, 0.7028, 0.9391)
S (0.7028, 0.9391, 0.0235)
S (0.9391, 0.0235, 0.7028)
S (0.9765, 0.2972, 0.0609)
S (0.2972, 0.0609, 0.9765)